This record from Alexandria via LeMat-Bulk describes a relaxed Li4Ti3Nb2Co3O16 crystal. The functional is PBE with a Hubbard U.

Properties
Final energy = -7.486 eV per atom
Space group = Cm, No. 8

Cell lengths 5.9452, 5.9757, 9.8265 Å; angles 90.27, 90.00, 119.83 degrees
Element x y z (fractional)
1 Li 0.0004 0.0007 0.0160
2 Li 0.6652 0.3304 0.5899
3 Li 0.3365 0.6731 0.0972
4 Li 0.0000 0.9999 0.5042
5 O 0.5205 0.0411 0.1512
6 O 0.9931 0.9861 0.6941
7 O 0.3460 0.6921 0.8938
8 O 0.8298 0.1614 0.9076
9 O 0.9725 0.5065 0.1509
10 O 0.0005 0.0009 0.2050
11 O 0.6755 0.3510 0.3878
12 O 0.1688 0.3376 0.4173
13 O 0.3316 0.1614 0.9076
14 O 0.8351 0.6701 0.8979
15 O 0.0333 0.5288 0.6613
16 O 0.4955 0.5288 0.6613
17 O 0.5339 0.5065 0.1509
18 O 0.4806 0.9612 0.6667
19 O 0.1646 0.8270 0.4100
20 O 0.6624 0.8270 0.4100
21 Ti 0.6528 0.8072 0.7797
22 Ti 0.1544 0.8072 0.7797
23 Ti 0.8235 0.6469 0.2667
24 Nb 0.6476 0.2952 0.0133
25 Nb 0.3348 0.6695 0.4988
26 Co 0.3409 0.1777 0.2916
27 Co 0.1684 0.3369 0.7907
28 Co 0.8368 0.1777 0.2916